# SrMgAg2 (PBE-GGA, optimized geometry)
# **ΔE_f**: -21 kJ per mole of atoms
# **Energy**: -2.460 eV/atom
# **Total magnetization**: 0.00 μB/f.u.
data_SrMgAg2
_chemical_formula_sum 'Sr1 Mg1 Ag2'
_symmetry_space_group_name_H-M 'P 4/m m m'
_symmetry_Int_Tables_number 123
_symmetry_space_group_name_Hall '-P 4 2'
_cell_length_a 3.6376
_cell_length_b 3.6376
_cell_length_c 7.3303
_cell_angle_alpha 90.00
_cell_angle_beta 90.00
_cell_angle_gamma 90.00
loop_
_atom_site_label
_atom_site_type_symbol
_atom_site_fract_x
_atom_site_fract_y
_atom_site_fract_z
_atom_site_occupancy
Sr1 Sr 0.0000 0.0000 0.0000 1
Mg1 Mg 0.0000 0.0000 0.5000 1
Ag1 Ag 0.5000 0.5000 0.3015 1